1.
The following is a DFT calculation (PBE) of a geometry-optimized Sr2BiTe structure.

Summary:
D(E_F)   0.484 states/eV/atom
Formation energy from raw total energies   -3.81 eV/f.u.
Magnetization   0.0 μB/cell
Crystal system   tetragonal
Relative energy among the computed polymorphs   0.247 eV/atom

a = 7.410 Å, b = 7.410 Å, c = 7.410 Å
α = 106.49°, β = 106.49°, γ = 115.60°
Element x y z (fractional)
Sr1 0.117 0.125 0.492
Sr2 0.375 0.883 0.008
Sr3 0.633 0.625 0.508
Sr4 0.875 0.367 0.992
Bi1 0.250 0.750 0.500
Bi2 0.500 0.500 0.000
Te1 0.000 0.000 0.000
Te2 0.750 0.250 0.500

---

2.
The following is a DFT calculation (PBE) of a geometry-optimized Sr2TlBiTe structure.

Summary:
D(E_F)   1.190 states/eV/atom
Formation energy from raw total energies   -0.01 eV/f.u.
Magnetization   0.0 μB/cell
Crystal system   tetragonal

a = 6.277 Å, b = 6.277 Å, c = 5.626 Å
α = 90.00°, β = 90.00°, γ = 90.00°
Element x y z (fractional)
Sr1 0.000 0.500 0.000
Sr2 0.500 0.000 0.000
Tl1 0.000 0.000 0.000
Bi1 0.500 0.500 0.500
Te1 0.000 0.000 0.500

---

3.
The following is a DFT calculation (PBE) of a geometry-optimized Sr2ZnBiTe5 structure.

Summary:
D(E_F)   0.647 states/eV/atom
Formation energy from raw total energies   -7.68 eV/f.u.
Magnetization   0.0 μB/cell
Crystal system   orthorhombic

a = 10.193 Å, b = 10.193 Å, c = 13.633 Å
α = 90.00°, β = 90.00°, γ = 154.73°
Element x y z (fractional)
Sr1 0.110 0.890 0.500
Sr2 0.120 0.880 0.148
Sr3 0.880 0.120 0.648
Sr4 0.890 0.110 0.000
Zn1 0.443 0.557 0.227
Zn2 0.557 0.443 0.727
Bi1 0.202 0.798 0.844
Bi2 0.798 0.202 0.344
Te1 0.031 0.969 0.829
Te2 0.284 0.716 0.505
Te3 0.308 0.692 0.176
Te4 0.353 0.647 0.826
Te5 0.490 0.510 0.559
Te6 0.510 0.490 0.059
Te7 0.647 0.353 0.326
Te8 0.692 0.308 0.676
Te9 0.716 0.284 0.005
Te10 0.969 0.031 0.329

---

4.
The following is a DFT calculation (PBE) of a geometry-optimized Sr2ZrBiTe structure.

Summary:
D(E_F)   1.078 states/eV/atom
Formation energy from raw total energies   0.92 eV/f.u.
Magnetization   1.7 μB/cell
Crystal system   tetragonal

a = 6.431 Å, b = 6.431 Å, c = 5.307 Å
α = 90.00°, β = 90.00°, γ = 90.00°
Element x y z (fractional)
Sr1 0.000 0.500 0.000
Sr2 0.500 0.000 0.000
Zr1 0.000 0.000 0.000
Bi1 0.500 0.500 0.500
Te1 0.000 0.000 0.500

---

5.
The following is a DFT calculation (PBE) of a geometry-optimized SrThBi2 structure.

Summary:
D(E_F)   0.820 states/eV/atom
Magnetization   0.0 μB/cell
Crystal system   tetragonal
Relative energy among the computed polymorphs   0.161 eV/atom

a = 3.989 Å, b = 3.989 Å, c = 8.414 Å
α = 90.00°, β = 90.00°, γ = 90.00°
Element x y z (fractional)
Sr1 0.000 0.000 0.000
Th1 0.000 0.000 0.500
Bi1 0.500 0.500 0.268
Bi2 0.500 0.500 0.732

---

6.
The following is a DFT calculation (PBE) of a geometry-optimized SrThBi2 structure.

Summary:
D(E_F)   0.632 states/eV/atom
Magnetization   0.0 μB/cell
Crystal system   cubic
Relative energy among the computed polymorphs   0.241 eV/atom

a = 5.719 Å, b = 5.719 Å, c = 5.719 Å
α = 60.00°, β = 60.00°, γ = 60.00°
Element x y z (fractional)
Sr1 0.000 0.000 0.000
Th1 0.500 0.500 0.500
Bi1 0.250 0.250 0.250
Bi2 0.750 0.750 0.750